Record 1
LiPCl after structural relaxation. Source: Alexandria, functional PBE-GGA.

SG ... No. 12
ΔE to the lowest computed polymorph ... 63.2 meV per atom

Cell: 11.9015 3.6795 6.3733 Å, 90.00 99.78 90.00°
With the nearest neighbours (Å) after each atom.
Fractional coordinates of all 12 atoms:
Li (0.7916, 0.0000, 0.4259)  3 Cl 2.17
Li (0.2084, 0.0000, 0.5741)  3 Cl 2.17
Li (0.7916, 0.5000, 0.9259)  3 Cl 2.17
Li (0.2084, 0.5000, 0.0741)  3 Cl 2.17
P (0.4511, 0.0000, 0.6512)  3 P 2.41
P (0.5489, 0.0000, 0.3488)  3 P 2.41
P (0.4511, 0.5000, 0.1512)  3 P 2.41
P (0.5489, 0.5000, 0.8488)  3 P 2.41
Cl (0.1715, 0.0000, 0.8958)  3 Li 2.17
Cl (0.8285, 0.0000, 0.1042)  3 Li 2.17
Cl (0.1715, 0.5000, 0.3958)  3 Li 2.17
Cl (0.8285, 0.5000, 0.6042)  3 Li 2.17

***

Record 2
LiPCl after structural relaxation. Source: Alexandria, functional PBE-GGA.

SG ... No. 8
ΔE to the lowest computed polymorph ... 0.4 meV per atom

Cell: 11.0816 3.5678 6.1801 Å, 90.00 100.76 90.00°
With the nearest neighbours (Å) after each atom.
Fractional coordinates of all 12 atoms:
Li (0.8841, 0.0000, 0.0404)  4 Cl 2.27-2.46
Li (0.8841, 0.5000, 0.5404)  4 Cl 2.27-2.46
Li (0.1960, 0.0000, 0.8089)  3 Cl 2.26
Li (0.1960, 0.5000, 0.3089)  3 Cl 2.26
P (0.4407, 0.0000, 0.8913)  3 P 2.37
P (0.4407, 0.5000, 0.3913)  3 P 2.37
P (0.5483, 0.0000, 0.5940)  3 P 2.37
P (0.5483, 0.5000, 0.0940)  3 P 2.37
Cl (0.1099, 0.0000, 0.1133)  4 Li 2.26-2.46
Cl (0.1099, 0.5000, 0.6133)  4 Li 2.26-2.46
Cl (0.7967, 0.0000, 0.3445)  3 Li 2.27
Cl (0.7967, 0.5000, 0.8445)  3 Li 2.27

***

Record 3
LiPCl after structural relaxation. Source: Alexandria, functional PBE-GGA.

SG ... No. 8
ΔE to the lowest computed polymorph ... 10.6 meV per atom

Cell: 10.8764 3.5467 6.1367 Å, 90.00 101.00 90.00°
With the nearest neighbours (Å) after each atom.
Fractional coordinates of all 12 atoms:
Li (0.8931, 0.0000, 0.3875)  3 Cl 2.29
Li (0.8931, 0.5000, 0.8875)  3 Cl 2.29
Li (0.1924, 0.0000, 0.1502)  3 Cl 2.28
Li (0.1924, 0.5000, 0.6502)  3 Cl 2.28
P (0.4392, 0.0000, 0.2329)  3 P 2.36, 1 Li 2.63
P (0.4392, 0.5000, 0.7329)  3 P 2.36, 1 Li 2.63
P (0.5492, 0.0000, 0.6034)  3 P 2.36
P (0.5492, 0.5000, 0.1034)  3 P 2.36
Cl (0.0979, 0.0000, 0.7847)  3 Li 2.28
Cl (0.0979, 0.5000, 0.2847)  3 Li 2.28
Cl (0.7973, 0.0000, 0.0215)  3 Li 2.29
Cl (0.7973, 0.5000, 0.5215)  3 Li 2.29

***

Record 4
LiPCl after structural relaxation. Source: Alexandria, functional PBE-GGA.

SG ... No. 1
ΔE to the lowest computed polymorph ... 45.4 meV per atom

Cell: 3.3575 3.7504 11.0242 Å, 99.38 96.22 89.96°
With the nearest neighbours (Å) after each atom.
Fractional coordinates of all 6 atoms:
Li (0.7016, 0.0510, 0.7831)  5 Cl 2.47-2.53
Li (0.2741, 0.6477, 0.9872)  5 Cl 2.47-2.53
P (0.8665, 0.0343, 0.3888)  2 P 2.14
P (0.3673, 0.6813, 0.3889)  2 P 2.14
Cl (0.7831, 0.1597, 0.0118)  5 Li 2.47-2.53
Cl (0.1931, 0.5391, 0.7586)  5 Li 2.47-2.53

***

Record 5
LiPCl after structural relaxation. Source: Alexandria, functional PBE-GGA.

SG ... No. 156
ΔE to the lowest computed polymorph ... 922.4 meV per atom

Cell: 3.2653 3.2653 6.1987 Å, 90.00 90.00 120.00°
With the nearest neighbours (Å) after each atom.
Fractional coordinates of all 3 atoms:
Cl (0.0000, 0.0000, 0.0795)  3 Li 2.24
Li (0.6667, 0.3333, 0.2742)  3 Cl 2.24
P (0.3333, 0.6667, 0.6463)  3 Li 2.98, 6 P 3.27, 3 Cl 3.28

***

Record 6
LiPCl4 after structural relaxation. Source: Alexandria, functional PBE-GGA.

SG ... No. 216
ΔE to the lowest computed polymorph ... 1356.0 meV per atom

Cell: 6.0042 6.0042 6.0042 Å, 60.00 60.00 60.00°
With the nearest neighbours (Å) after each atom.
Fractional coordinates of all 6 atoms:
Li (0.7500, 0.7500, 0.7500)  12 Cl 3.52, 4 P 3.68
P (0.0000, 0.0000, 0.0000)  12 Cl 3.52, 4 Li 3.68
Cl (0.8759, 0.3747, 0.3747)  6 Cl 2.99-3.01
Cl (0.3747, 0.3747, 0.8759)  6 Cl 2.99-3.01
Cl (0.3747, 0.8759, 0.3747)  6 Cl 2.99-3.01
Cl (0.3747, 0.3747, 0.3747)  6 Cl 2.99-3.01

***

Record 7
LiPCl after structural relaxation. Source: Alexandria, functional PBE-GGA.

SG ... No. 5
ΔE to the lowest computed polymorph ... 40.5 meV per atom

Cell: 11.3404 3.4134 7.3392 Å, 90.00 105.85 90.00°
With the nearest neighbours (Å) after each atom.
Fractional coordinates of all 12 atoms:
Li (0.9052, 0.3204, 0.3064)  4 Cl 2.27-2.50
Li (0.0948, 0.3204, 0.6936)  4 Cl 2.27-2.50
Li (0.9052, 0.8204, 0.8064)  4 Cl 2.27-2.50
Li (0.0948, 0.8204, 0.1936)  4 Cl 2.27-2.50
P (0.5475, 0.3274, 0.2019)  2 P 2.23
P (0.4525, 0.3274, 0.7981)  2 P 2.23
P (0.5475, 0.8274, 0.7019)  2 P 2.23
P (0.4525, 0.8274, 0.2981)  2 P 2.23
Cl (0.1341, 0.3204, 0.4056)  4 Li 2.27-2.50
Cl (0.8659, 0.3204, 0.5944)  4 Li 2.27-2.50
Cl (0.1341, 0.8204, 0.9056)  4 Li 2.27-2.50
Cl (0.8659, 0.8204, 0.0944)  4 Li 2.27-2.50

***

Record 8
LiPCl after structural relaxation. Source: Alexandria, functional PBE-GGA.

SG ... No. 216
ΔE to the lowest computed polymorph ... 1426.6 meV per atom

Cell: 4.5971 4.5971 4.5971 Å, 60.00 60.00 60.00°
With the nearest neighbours (Å) after each atom.
Fractional coordinates of all 3 atoms:
Cl (0.0000, 0.0000, 0.0000)  4 P 2.82
Li (0.5000, 0.5000, 0.5000)  4 P 2.82
P (0.7500, 0.7500, 0.7500)  4 Cl 2.82, 4 Li 2.82

***

Record 9
LiPCl after structural relaxation. Source: Alexandria, functional PBE-GGA.

SG ... No. 8
ΔE to the lowest computed polymorph ... 15.9 meV per atom

Cell: 10.8953 3.5373 6.1326 Å, 90.00 90.19 90.00°
With the nearest neighbours (Å) after each atom.
Fractional coordinates of all 12 atoms:
Li (0.6902, 0.0000, 0.0398)  3 Cl 2.26
Li (0.6902, 0.5000, 0.5398)  3 Cl 2.26
Li (0.9876, 0.0000, 0.3691)  3 Cl 2.27
Li (0.9876, 0.5000, 0.8691)  3 Cl 2.27
P (0.3368, 0.0000, 0.7042)  3 P 2.36
P (0.3368, 0.5000, 0.2042)  3 P 2.36
P (0.4455, 0.0000, 0.0381)  3 P 2.36
P (0.4455, 0.5000, 0.5381)  3 P 2.36
Cl (0.0787, 0.0000, 0.0367)  3 Li 2.27
Cl (0.0787, 0.5000, 0.5367)  3 Li 2.27
Cl (0.7797, 0.0000, 0.7072)  3 Li 2.26
Cl (0.7797, 0.5000, 0.2072)  3 Li 2.26

***

Record 10
Li4PCl2 after structural relaxation. Source: Alexandria, functional PBE-GGA.

SG ... No. 139

Cell: 4.8473 4.8473 7.3503 Å, 70.75 70.75 90.00°
With the nearest neighbours (Å) after each atom.
Fractional coordinates of all 7 atoms:
P (0.0000, 0.0000, 0.0000)  6 Li 2.40-2.42
Li (0.1846, 0.1846, 0.6308)  1 Cl 2.26, 1 P 2.40
Li (0.8154, 0.8154, 0.3692)  1 Cl 2.26, 1 P 2.40
Li (0.0000, 0.5000, 0.0000)  2 P 2.42
Li (0.5000, 0.0000, 0.0000)  2 P 2.42
Cl (0.3587, 0.3587, 0.2825)  1 Li 2.26
Cl (0.6413, 0.6413, 0.7175)  1 Li 2.26

***

Record 11
LiPCl after structural relaxation. Source: Alexandria, functional PBE-GGA.

SG ... No. 8
ΔE to the lowest computed polymorph ... 0.0 meV per atom

Cell: 10.8993 3.5648 6.1743 Å, 90.00 90.08 90.00°
With the nearest neighbours (Å) after each atom.
Fractional coordinates of all 12 atoms:
P (0.6655, 0.0000, 0.1812)  3 P 2.37
P (0.6655, 0.5000, 0.6812)  3 P 2.37
P (0.5579, 0.0000, 0.8476)  3 P 2.37
P (0.5579, 0.5000, 0.3476)  3 P 2.37
Cl (0.9146, 0.0000, 0.5154)  3 Li 2.27
Cl (0.9146, 0.5000, 0.0154)  3 Li 2.27
Cl (0.2276, 0.0000, 0.1793)  4 Li 2.26-2.45
Cl (0.2276, 0.5000, 0.6793)  4 Li 2.26-2.45
Li (0.3134, 0.0000, 0.8461)  3 Cl 2.26
Li (0.3134, 0.5000, 0.3461)  3 Cl 2.26
Li (0.0024, 0.0000, 0.1823)  4 Cl 2.27-2.45
Li (0.0024, 0.5000, 0.6823)  4 Cl 2.27-2.45

***

Record 12
LiP2Cl8 after structural relaxation. Source: Alexandria, functional PBE-GGA.

SG ... No. 12

Cell: 7.6114 7.4430 7.4430 Å, 94.11 76.69 76.69°
With the nearest neighbours (Å) after each atom.
Fractional coordinates of all 11 atoms:
Li (0.0000, 0.0000, 0.0000)  2 Cl 2.24
P (0.6101, 0.7793, 0.7793)  3 Cl 2.04-2.08
P (0.3899, 0.2207, 0.2207)  3 Cl 2.04-2.08
Cl (0.2503, 0.3220, 0.0255)  1 P 2.08
Cl (0.7497, 0.9745, 0.6780)  1 P 2.08
Cl (0.2283, 0.7913, 0.7913)  1 Li 2.24
Cl (0.7717, 0.2087, 0.2087)  1 Li 2.24
Cl (0.2503, 0.0255, 0.3220)  1 P 2.08
Cl (0.7497, 0.6780, 0.9745)  1 P 2.08
Cl (0.7102, 0.5661, 0.5661)  1 P 2.04
Cl (0.2898, 0.4339, 0.4339)  1 P 2.04

***

Result set for E_form (uncorrected): -0.988, -1.051, -1.041, -1.006, -0.129, 0.549, -1.011, 0.375, -1.035, -0.914, -1.051, -0.703 eV per atom, one per record in the order listed.
Result set for magnetization: 0.00, 0.00, 0.00, 0.00, 0.31, 0.68, 0.00, 0.36, 0.00, 0.15, 0.00, 0.10 μB per atom, one per record in the order listed.